DFT (PBE) results for an optimized crystal structure of Ac8Ni2Ru.

Results
formation energy: -58 meV per atom
DFT total energy: -4.94 eV/atom

Cell: 7.0794 8.5727 8.5727 Å, 55.36 104.07 104.07°
Fractional coordinates of all 11 atoms:
Ac 0.0985 0.1312 0.6279
Ac 0.0985 0.6279 0.1312
Ac 0.9015 0.8688 0.3721
Ac 0.3928 0.6061 0.6061
Ac 0.9015 0.3721 0.8688
Ac 0.4037 0.1251 0.1251
Ac 0.5963 0.8749 0.8749
Ac 0.6072 0.3939 0.3939
Ni 0.8070 0.2544 0.2544
Ni 0.1930 0.7456 0.7456
Ru 0.0000 0.0000 0.0000